Here is a relaxed Be2OsSe crystal from Alexandria via LeMat-Bulk. Energies are from PBE.

Values from the calculation:
Total magnetic moment, μB/f.u.: 0.000
Raw formation energy, eV/atom: 0.28
Mass density, g/cm3: 9.58

a = 3.069 Å, b = 3.069 Å, c = 5.284 Å
α = 90.00°, β = 90.00°, γ = 90.00°
Fractional coordinates of all 4 atoms:
Be 0.000 0.000 0.000
Be 0.500 0.500 0.228
Os 0.000 0.000 0.422
Se 0.500 0.500 0.765

---

Here is a relaxed BeOsSe2 crystal from Alexandria via LeMat-Bulk. Energies are from PBE.

Values from the calculation:
Total magnetic moment, μB/f.u.: 0.000
Raw formation energy, eV/atom: 0.43
Mass density, g/cm3: 8.48

a = 2.928 Å, b = 2.928 Å, c = 9.237 Å
α = 90.00°, β = 90.00°, γ = 117.96°
Fractional coordinates of all 4 atoms:
Be 0.000 0.000 0.000
Os 0.500 0.500 0.204
Se 0.000 0.000 0.420
Se 0.500 0.500 0.819

---

Here is a relaxed BeOsSe2 crystal from Alexandria via LeMat-Bulk. Energies are from PBE.

Values from the calculation:
Total magnetic moment, μB/f.u.: 0.000
Raw formation energy, eV/atom: 0.97
Mass density, g/cm3: 9.65

a = 4.429 Å, b = 4.429 Å, c = 4.429 Å
α = 60.00°, β = 60.00°, γ = 60.00°
Fractional coordinates of all 4 atoms:
Be 0.000 0.000 0.000
Os 0.250 0.250 0.250
Se 0.500 0.500 0.500
Se 0.750 0.750 0.750

---

Here is a relaxed BeOs2Se crystal from Alexandria via LeMat-Bulk. Energies are from PBE.

Values from the calculation:
Total magnetic moment, μB/f.u.: 0.000
Raw formation energy, eV/atom: 0.72
Mass density, g/cm3: 13.75
Excess energy over the best structure of this formula in the dataset, meV/atom: 408

a = 2.953 Å, b = 4.056 Å, c = 4.722 Å
α = 90.00°, β = 90.00°, γ = 90.00°
Fractional coordinates of all 4 atoms:
Be 0.000 0.000 0.000
Os 0.000 0.500 0.500
Os 0.500 0.500 0.000
Se 0.500 0.000 0.500

---

Here is a relaxed BeOsSe2 crystal from Alexandria via LeMat-Bulk. Energies are from PBE.

Values from the calculation:
Total magnetic moment, μB/f.u.: 0.000
Raw formation energy, eV/atom: 0.12
Mass density, g/cm3: 7.84

a = 6.340 Å, b = 6.340 Å, c = 6.340 Å
α = 128.61°, β = 128.61°, γ = 75.64°
Fractional coordinates of all 8 atoms:
Be 0.000 0.000 0.000
Be 0.750 0.250 0.500
Os 0.250 0.750 0.500
Os 0.500 0.500 0.000
Se 0.094 0.625 0.969
Se 0.375 0.344 0.469
Se 0.656 0.125 0.031
Se 0.875 0.906 0.531

---

Here is a relaxed BeOs2Se crystal from Alexandria via LeMat-Bulk. Energies are from PBE.

Values from the calculation:
Total magnetic moment, μB/f.u.: 0.000
Raw formation energy, eV/atom: 0.57
Mass density, g/cm3: 14.18
Excess energy over the best structure of this formula in the dataset, meV/atom: 256

a = 5.117 Å, b = 5.117 Å, c = 5.117 Å
α = 146.64°, β = 131.29°, γ = 60.32°
Fractional coordinates of all 4 atoms:
Be 0.000 0.000 0.000
Os 0.220 0.720 0.500
Os 0.493 0.493 0.000
Se 0.733 0.233 0.500

---

Here is a relaxed BeOsSe2 crystal from Alexandria via LeMat-Bulk. Energies are from PBE.

Values from the calculation:
Total magnetic moment, μB/f.u.: 0.000
Raw formation energy, eV/atom: 0.66
Mass density, g/cm3: 9.79

a = 4.450 Å, b = 4.450 Å, c = 3.057 Å
α = 90.00°, β = 90.00°, γ = 90.15°
Fractional coordinates of all 4 atoms:
Be 0.000 0.000 0.000
Os 0.500 0.500 0.000
Se 0.000 0.500 0.500
Se 0.500 0.000 0.500

---

Here is a relaxed BeOsSe2 crystal from Alexandria via LeMat-Bulk. Energies are from PBE.

Values from the calculation:
Total magnetic moment, μB/f.u.: 0.000
Raw formation energy, eV/atom: 0.62
Mass density, g/cm3: 8.88

a = 3.702 Å, b = 3.982 Å, c = 4.630 Å
α = 90.00°, β = 101.96°, γ = 90.00°
Fractional coordinates of all 4 atoms:
Be 0.000 0.000 0.000
Os 0.500 0.000 0.500
Se 0.299 0.500 0.752
Se 0.701 0.500 0.248